Compound: ThMn2
Source: the Alexandria database
Functional: GGA-PBE
Structure: optimized geometry

Computed properties:
As for the total energy: -8.503 eV per atom. The density is 10.94 Mg/m³. Its density of states at the Fermi level is 14.0 states/eV per cell. As for the crystal system: hexagonal. As for the formation energy: 0.0831 eV per atom. The calculation puts the calculated volume at 17.3 Å³/atom.

```
data_ThMn2
_cell_length_a 5.3033
_cell_length_b 5.3033
_cell_length_c 8.5202
_cell_angle_alpha 90.00
_cell_angle_beta 90.00
_cell_angle_gamma 120.00
_symmetry_space_group_name_H-M 'P 63/m m c'
_symmetry_Int_Tables_number 194
_symmetry_space_group_name_Hall '-P 6c 2c'
loop_
_atom_site_label
_atom_site_fract_x
_atom_site_fract_y
_atom_site_fract_z
_atom_site_occupancy
Th1 0.3333 0.6667 0.0610 1
Mn1 0.0000 0.0000 0.0000 1
Mn2 0.1606 0.3212 0.7500 1
```

Compound: BaTlCd2Sb2
Source: the Alexandria database
Functional: GGA-PBE
Structure: optimized geometry

Computed properties:
As for the total energy: -2.787 eV per atom. The density is 7.29 Mg/m³. Its density of states at the Fermi level is 1.1 states/eV per cell. As for the crystal system: trigonal. As for the uncorrected formation energy: -0.393 eV per atom. The calculation puts the calculated volume at 30.8 Å³/atom.

```
data_BaTlCd2Sb2
_cell_length_a 5.2754
_cell_length_b 5.2754
_cell_length_c 7.6563
_cell_angle_alpha 90.00
_cell_angle_beta 90.00
_cell_angle_gamma 120.00
_symmetry_space_group_name_H-M 'P -3 m 1'
_symmetry_Int_Tables_number 164
_symmetry_space_group_name_Hall '-P 3 2"'
loop_
_atom_site_label
_atom_site_fract_x
_atom_site_fract_y
_atom_site_fract_z
_atom_site_occupancy
Ba1 0.0000 0.0000 0.0000 1
Tl1 0.0000 0.0000 0.5000 1
Cd1 0.3333 0.6667 0.6769 1
Sb1 0.3333 0.6667 0.2686 1
```

Compound: Tb2BeB10
Source: the Alexandria database
Functional: GGA-PBE
Structure: optimized geometry

Computed properties:
As for the total energy: -6.601 eV per atom. The density is 5.76 Mg/m³. Its density of states at the Fermi level is 3.2 states/eV per cell. As for the crystal system: orthorhombic. As for the formation energy: -0.4655 eV per atom. The calculation puts the calculated volume at 9.6 Å³/atom.

```
data_Tb2BeB10
_cell_length_a 5.549
_cell_length_b 10.948
_cell_length_c 4.125
_cell_angle_alpha 90.00
_cell_angle_beta 90.00
_cell_angle_gamma 90.00
_symmetry_space_group_name_H-M 'P b a m'
_symmetry_Int_Tables_number 55
loop_
_symmetry_equiv_pos_as_xyz
'x,y,z'
'-x,-y,-z'
'-x,-y,z'
'x,y,-z'
'x+1/2,-y+1/2,-z'
'-x+1/2,y+1/2,z'
'-x+1/2,y+1/2,-z'
'x+1/2,-y+1/2,z'
loop_
_atom_site_label
_atom_site_fract_x
_atom_site_fract_y
_atom_site_fract_z
_atom_site_occupancy
Tb1 0.193 0.134 0.000 1
Be1 0.000 0.500 0.500 1
B1 0.024 0.315 0.500 1
B2 0.128 0.960 0.500 1
B3 0.166 0.802 0.500 1
B4 0.195 0.389 0.200 1
```

Compound: PmMgPPd
Source: the Alexandria database
Functional: GGA-PBE
Structure: optimized geometry

Computed properties:
As for the total energy: -4.928 eV per atom. The density is 6.36 Mg/m³. Its density of states at the Fermi level is 6.9 states/eV per cell. As for the crystal system: cubic. As for the formation energy: -0.6908 eV per atom. The calculation puts the calculated volume at 20.0 Å³/atom.

```
data_PmMgPPd
_cell_length_a 6.843
_cell_length_b 6.843
_cell_length_c 6.843
_cell_angle_alpha 90.00
_cell_angle_beta 90.00
_cell_angle_gamma 90.00
_symmetry_space_group_name_H-M 'F -4 3 m'
_symmetry_Int_Tables_number 216
_symmetry_space_group_name_Hall 'F -4 2 3'
loop_
_atom_site_label
_atom_site_fract_x
_atom_site_fract_y
_atom_site_fract_z
_atom_site_occupancy
Pm1 0.000 0.000 0.000 1
Mg1 0.000 0.000 0.500 1
P1 0.250 0.250 0.250 1
Pd1 0.250 0.250 0.750 1
```

Compound: La2Sm6Dy3In
Source: the Alexandria database
Functional: GGA-PBE
Structure: optimized geometry

Computed properties:
As for the total energy: -4.621 eV per atom. The density is 7.60 Mg/m³. Its density of states at the Fermi level is 30.9 states/eV per cell. As for the crystal system: monoclinic. As for the formation energy: -0.0618 eV per atom. The calculation puts the calculated volume at 32.5 Å³/atom.

```
data_La2Sm6Dy3In
_cell_length_a 6.189
_cell_length_b 10.729
_cell_length_c 11.913
_cell_angle_alpha 90.00
_cell_angle_beta 100.03
_cell_angle_gamma 90.00
_symmetry_space_group_name_H-M 'C 1 2/m 1'
_symmetry_Int_Tables_number 12
loop_
_symmetry_equiv_pos_as_xyz
'x,y,z'
'-x,-y,-z'
'-x,y,-z'
'x,-y,z'
'x+1/2,y+1/2,z'
'-x+1/2,-y+1/2,-z'
'-x+1/2,y+1/2,-z'
'x+1/2,-y+1/2,z'
loop_
_atom_site_label
_atom_site_fract_x
_atom_site_fract_y
_atom_site_fract_z
_atom_site_occupancy
La1 0.000 0.166 0.000 1
Sm1 0.241 0.500 0.747 1
Sm2 0.246 0.338 0.252 1
Dy1 0.000 0.000 0.500 1
Dy2 0.000 0.333 0.500 1
In1 0.000 0.500 0.000 1
```

Compound: ZrCdRu2
Source: the Alexandria database
Functional: GGA-PBE
Structure: optimized geometry

Computed properties:
As for the total energy: -6.799 eV per atom. The density is 9.66 Mg/m³. Its density of states at the Fermi level is 10.1 states/eV per cell. As for the crystal system: trigonal. As for the formation energy: 0.2049 eV per atom. The calculation puts the calculated volume at 17.4 Å³/atom.

```
data_ZrCdRu2
_cell_length_a 2.8855
_cell_length_b 2.8855
_cell_length_c 29.0330
_cell_angle_alpha 90.00
_cell_angle_beta 90.00
_cell_angle_gamma 120.00
_symmetry_space_group_name_H-M 'R 3 m'
_symmetry_Int_Tables_number 160
_symmetry_space_group_name_Hall 'R 3 -2"'
loop_
_atom_site_label
_atom_site_fract_x
_atom_site_fract_y
_atom_site_fract_z
_atom_site_occupancy
Zr1 0.0000 0.0000 0.0000 1
Cd1 0.0000 0.0000 0.7620 1
Ru1 0.0000 0.0000 0.2471 1
Ru2 0.0000 0.0000 0.5127 1
```

Compound: CaScGa2W
Source: the Alexandria database
Functional: GGA-PBE
Structure: optimized geometry

Computed properties:
As for the total energy: -4.620 eV per atom. The density is 5.30 Mg/m³. Its density of states at the Fermi level is 5.4 states/eV per cell. As for the crystal system: tetragonal. As for the formation energy: 0.8482 eV per atom. The calculation puts the calculated volume at 25.6 Å³/atom.

```
data_CaScGa2W
_cell_length_a 5.169
_cell_length_b 5.169
_cell_length_c 4.788
_cell_angle_alpha 90.00
_cell_angle_beta 90.00
_cell_angle_gamma 90.00
_symmetry_space_group_name_H-M 'P 4/m m m'
_symmetry_Int_Tables_number 123
_symmetry_space_group_name_Hall '-P 4 2'
loop_
_atom_site_label
_atom_site_fract_x
_atom_site_fract_y
_atom_site_fract_z
_atom_site_occupancy
Ca1 0.000 0.000 0.000 1
Sc1 0.500 0.500 0.500 1
Ga1 0.000 0.500 0.500 1
W1 0.500 0.500 0.000 1
```

Compound: GdZnPd
Source: the Alexandria database
Functional: GGA-PBE
Structure: optimized geometry

Computed properties:
As for the total energy: -7.511 eV per atom. The density is 8.81 Mg/m³. Its density of states at the Fermi level is 2.8 states/eV per cell. As for the crystal system: hexagonal. As for the formation energy: -0.6617 eV per atom. The calculation puts the calculated volume at 20.7 Å³/atom.

```
data_GdZnPd
_cell_length_a 4.4836
_cell_length_b 4.4836
_cell_length_c 3.5619
_cell_angle_alpha 90.00
_cell_angle_beta 90.00
_cell_angle_gamma 120.00
_symmetry_space_group_name_H-M 'P -6 m 2'
_symmetry_Int_Tables_number 187
_symmetry_space_group_name_Hall 'P -6 2'
loop_
_atom_site_label
_atom_site_fract_x
_atom_site_fract_y
_atom_site_fract_z
_atom_site_occupancy
Gd1 0.0000 0.0000 0.0000 1
Zn1 0.3333 0.6667 0.5000 1
Pd1 0.6667 0.3333 0.5000 1
```